(1)
Below is crystalline Tm4Si2S3O7 at its relaxed geometry, with properties calculated at the PBE level.

Structure (POSCAR):
```
Tm4Si2S3O7
1.0
-5.767 5.767 6.696
5.767 -5.767 6.696
5.767 5.767 -6.696
Tm O Si S
16 28 8 12
direct
0.173 0.827 0.000
0.173 0.173 0.346
0.215 0.481 0.265
0.535 0.769 0.235
0.535 0.300 0.765
0.231 0.465 0.765
0.827 0.827 0.654
0.577 0.423 0.500
0.577 0.077 0.154
0.923 0.423 0.846
0.700 0.465 0.235
0.215 0.950 0.735
0.827 0.173 0.000
0.050 0.785 0.265
0.923 0.077 0.500
0.519 0.785 0.735
0.306 0.291 0.267
0.960 0.694 0.985
0.063 0.298 0.765
0.306 0.040 0.015
0.724 0.724 0.000
0.702 0.937 0.235
0.026 0.526 0.500
0.702 0.467 0.765
0.790 0.274 0.233
0.687 0.952 0.735
0.726 0.959 0.515
0.790 0.556 0.515
0.444 0.210 0.485
0.444 0.959 0.233
0.276 0.276 0.000
0.709 0.976 0.015
0.533 0.298 0.235
0.048 0.313 0.265
0.041 0.556 0.767
0.960 0.976 0.267
0.217 0.952 0.265
0.709 0.694 0.733
0.726 0.210 0.767
0.024 0.040 0.733
0.041 0.274 0.485
0.474 0.974 0.500
0.024 0.291 0.985
0.048 0.783 0.735
0.970 0.595 0.625
0.655 0.030 0.625
0.345 0.220 0.125
0.780 0.655 0.875
0.970 0.345 0.375
0.780 0.905 0.125
0.405 0.030 0.375
0.095 0.220 0.875
0.520 0.625 0.395
0.875 0.770 0.395
0.375 0.480 0.605
0.500 0.500 0.000
0.520 0.125 0.895
0.230 0.625 0.105
0.230 0.125 0.605
0.000 0.000 0.000
0.375 0.770 0.895
0.250 0.750 0.500
0.750 0.250 0.500
0.875 0.480 0.105
```

Calculated values
Its size of the total moment is 0.01 Bohr magnetons per cell. The value obtained for the energy is -7.5940 eV/atom. The symmetry is No. 141.

---

(2)
Below is crystalline Sm2SO2 at its relaxed geometry, with properties calculated at the PBE level.

Structure (POSCAR):
```
Sm2SO2
1.0
3.386 -1.954 0.000
3.386 1.954 0.000
-0.002 0.000 6.711
S O Sm
1 2 2
direct
0.000 0.000 0.000
0.667 0.667 0.631
0.333 0.333 0.369
0.667 0.667 0.281
0.333 0.333 0.719
```

Calculated values
Its size of the total moment is 0.00 Bohr magnetons per cell. The value obtained for the energy is -7.8200 eV/atom. The symmetry is No. 164.

---

(3)
Below is crystalline Sm2S2O at its relaxed geometry, with properties calculated at the PBE level.

Structure (POSCAR):
```
Sm2S2O
1.0
-4.194 0.605 7.294
5.587 -2.674 3.435
3.031 6.295 -0.029
S Sm O
8 8 4
direct
0.078 0.224 0.529
0.078 0.276 0.029
0.678 0.360 0.568
0.922 0.724 0.971
0.322 0.640 0.432
0.922 0.776 0.471
0.678 0.140 0.068
0.322 0.860 0.932
0.421 0.138 0.684
0.863 0.055 0.749
0.137 0.945 0.251
0.421 0.362 0.184
0.863 0.445 0.249
0.579 0.862 0.316
0.579 0.638 0.816
0.137 0.555 0.751
0.617 0.588 0.149
0.383 0.412 0.851
0.383 0.088 0.351
0.617 0.912 0.649
```

Calculated values
Its size of the total moment is 0.00 Bohr magnetons per cell. The value obtained for the energy is -7.1201 eV/atom. The symmetry is No. 14.

---

(4)
Below is crystalline SrSmZn2S2O2 at its relaxed geometry, with properties calculated at the PBE level.

Structure (POSCAR):
```
SrSmZn2S2O2
1.0
-0.691 3.551 1.685
1.795 -2.886 2.092
9.654 3.510 -3.441
O S Zn Sr Sm
2 2 2 1 1
direct
0.333 0.667 0.341
0.333 0.667 0.822
0.667 0.333 0.589
0.000 0.000 0.060
0.333 0.667 0.518
0.333 0.667 0.006
0.667 0.333 0.276
0.000 0.000 0.763
```

Calculated values
Its size of the total moment is 0.01 Bohr magnetons per cell. The value obtained for the energy is -5.1277 eV/atom. The symmetry is No. 156.

---

(5)
Below is crystalline TbSmSO2 at its relaxed geometry, with properties calculated at the PBE level.

Structure (POSCAR):
```
TbSmSO2
1.0
-3.492 -1.500 -0.643
2.828 -0.532 -2.565
1.815 -5.578 3.158
Sm O Tb S
1 2 1 1
direct
0.667 0.333 0.280
0.333 0.667 0.374
0.667 0.333 0.633
0.333 0.667 0.717
0.000 0.000 0.996
```

Calculated values
Its size of the total moment is 0.00 Bohr magnetons per cell. The value obtained for the energy is -7.8356 eV/atom. The symmetry is No. 156.

---

(6)
Below is crystalline Sm2ZnTe2S2O14 at its relaxed geometry, with properties calculated at the PBE level.

Structure (POSCAR):
```
Sm2ZnTe2S2O14
1.0
-4.094 -2.582 2.116
2.571 -7.101 -2.107
2.996 -4.673 5.879
O Sm S Te Zn
14 2 2 2 1
direct
0.868 0.236 0.560
0.738 0.062 0.342
0.189 0.918 0.091
0.466 0.274 0.769
0.121 0.581 0.263
0.811 0.082 0.909
0.723 0.807 0.751
0.746 0.435 0.114
0.534 0.726 0.231
0.262 0.938 0.658
0.132 0.764 0.440
0.879 0.419 0.737
0.277 0.193 0.249
0.254 0.565 0.886
0.926 0.748 0.986
0.074 0.252 0.014
0.754 0.254 0.741
0.246 0.746 0.259
0.508 0.264 0.351
0.492 0.736 0.649
0.000 0.000 0.500
```

Calculated values
Its size of the total moment is 0.00 Bohr magnetons per cell. The value obtained for the energy is -6.3961 eV/atom. The symmetry is No. 2.

---

(7)
Below is crystalline Ta2SO7 at its relaxed geometry, with properties calculated at the PBE level.

Structure (POSCAR):
```
Ta2SO7
1.0
8.208 0.000 0.000
0.000 6.602 0.000
0.000 0.000 4.097
Ta O S
4 14 2
direct
0.226 0.153 0.215
0.774 0.153 0.215
0.274 0.847 0.715
0.726 0.847 0.715
0.741 0.849 0.222
0.000 0.386 0.601
0.350 0.524 0.586
0.241 0.151 0.722
0.650 0.524 0.586
0.500 0.264 0.284
0.000 0.101 0.198
0.500 0.899 0.698
0.759 0.151 0.722
0.259 0.849 0.222
0.500 0.614 0.101
0.850 0.476 0.086
0.150 0.476 0.086
0.000 0.736 0.784
0.500 0.493 0.389
0.000 0.507 0.889
```

Calculated values
Its size of the total moment is 0.07 Bohr magnetons per cell. The value obtained for the energy is -8.0610 eV/atom. The symmetry is No. 31.

---

(8)
Below is crystalline TcS2O8 at its relaxed geometry, with properties calculated at the PBE level.

Structure (POSCAR):
```
TcS2O8
1.0
4.766 -3.146 0.000
4.766 3.146 0.000
-0.840 0.000 4.570
O S Tc
8 2 1
direct
0.169 0.169 0.329
0.651 0.651 0.241
0.068 0.697 0.232
0.349 0.349 0.759
0.697 0.068 0.232
0.831 0.831 0.671
0.303 0.932 0.768
0.932 0.303 0.768
0.199 0.199 0.658
0.801 0.801 0.342
0.000 0.000 0.000
```

Calculated values
Its size of the total moment is 3.00 Bohr magnetons per cell. The value obtained for the energy is -6.4182 eV/atom. The symmetry is No. 12.

---

(9)
Below is crystalline Tc3SO2 at its relaxed geometry, with properties calculated at the PBE level.

Structure (POSCAR):
```
Tc3SO2
1.0
2.590 -4.488 0.000
2.590 4.488 0.000
0.000 0.000 3.217
Tc O S
3 2 1
direct
0.000 0.500 0.500
0.500 0.500 0.500
0.500 0.000 0.500
0.667 0.333 0.000
0.333 0.667 0.000
0.000 0.000 0.000
```

Calculated values
Its size of the total moment is 0.01 Bohr magnetons per cell. The value obtained for the energy is -7.2751 eV/atom. The symmetry is No. 191.

---

(10)
Below is crystalline Tm2S2O at its relaxed geometry, with properties calculated at the PBE level.

Structure (POSCAR):
```
Tm2S2O
1.0
8.150 0.000 0.021
0.000 6.788 0.000
-1.140 0.000 6.665
Tm S O
8 8 4
direct
0.425 0.355 0.177
0.575 0.645 0.823
0.575 0.855 0.323
0.138 0.947 0.249
0.862 0.053 0.751
0.138 0.553 0.749
0.425 0.145 0.677
0.862 0.447 0.251
0.925 0.723 0.970
0.318 0.632 0.421
0.682 0.368 0.579
0.318 0.868 0.921
0.925 0.777 0.470
0.075 0.223 0.530
0.682 0.132 0.079
0.075 0.277 0.030
0.383 0.413 0.850
0.617 0.587 0.150
0.383 0.087 0.350
0.617 0.913 0.650
```

Calculated values
Its size of the total moment is 0.01 Bohr magnetons per cell. The value obtained for the energy is -7.0733 eV/atom. The symmetry is No. 14.

---

(11)
Below is crystalline Tm2SO5 at its relaxed geometry, with properties calculated at the PBE level.

Structure (POSCAR):
```
Tm2SO5
1.0
5.466 -3.336 0.000
5.466 3.336 0.000
-3.531 0.000 5.751
O Tm S
10 4 2
direct
0.338 0.697 0.765
0.144 0.144 0.074
0.856 0.856 0.926
0.845 0.845 0.294
0.307 0.307 0.491
0.697 0.338 0.765
0.662 0.303 0.235
0.303 0.662 0.235
0.155 0.155 0.706
0.693 0.693 0.509
0.938 0.938 0.686
0.500 0.000 0.000
0.000 0.500 0.000
0.062 0.062 0.314
0.420 0.420 0.743
0.580 0.580 0.257
```

Calculated values
Its size of the total moment is 0.00 Bohr magnetons per cell. The value obtained for the energy is -7.3056 eV/atom. The symmetry is No. 12.

---

(12)
Below is crystalline YTmSO2 at its relaxed geometry, with properties calculated at the PBE level.

Structure (POSCAR):
```
YTmSO2
1.0
3.760 0.000 0.000
-1.880 3.256 0.000
0.000 0.000 6.544
Tm O Y S
1 2 1 1
direct
0.667 0.333 0.284
0.333 0.667 0.367
0.667 0.333 0.626
0.333 0.667 0.720
0.000 0.000 0.003
```

Calculated values
Its size of the total moment is 0.00 Bohr magnetons per cell. The value obtained for the energy is -8.2022 eV/atom. The symmetry is No. 156.